Record 1
# Nb2ZnNi3 (PBE, relaxed)
# * formation enthalpy at 0 K: -0.19 eV per atom
data_Nb2ZnNi3
_cell_length_a 5.298
_cell_length_b 8.465
_cell_length_c 14.623
_cell_angle_alpha 90.00
_cell_angle_beta 90.00
_cell_angle_gamma 90.00
_space_group_name_H-M_alt 'F m m m'
_space_group_IT_number 69
_space_group_name_Hall '-F 2 2'
loop_
_atom_site_label
_atom_site_type_symbol
_atom_site_fract_x
_atom_site_fract_y
_atom_site_fract_z
_atom_site_occupancy
Nb1 Nb 0.246 0.000 0.000 1
Nb2 Nb 0.250 0.250 0.250 1
Zn1 Zn 0.000 0.000 0.334 1
Ni1 Ni 0.000 0.000 0.167 1
Ni2 Ni 0.000 0.249 0.416 1

Record 2
# NbZn2Ni5 (PBE, relaxed)
# * formation enthalpy at 0 K: -0.27 eV per atom
data_NbZn2Ni5
_cell_length_a 3.718
_cell_length_b 3.718
_cell_length_c 14.238
_cell_angle_alpha 90.00
_cell_angle_beta 90.00
_cell_angle_gamma 90.00
_space_group_name_H-M_alt 'I 4/m m m'
_space_group_IT_number 139
_space_group_name_Hall '-I 4 2'
loop_
_atom_site_label
_atom_site_type_symbol
_atom_site_fract_x
_atom_site_fract_y
_atom_site_fract_z
_atom_site_occupancy
Nb1 Nb 0.000 0.000 0.000 1
Zn1 Zn 0.000 0.000 0.253 1
Ni1 Ni 0.000 0.000 0.500 1
Ni2 Ni 0.000 0.500 0.126 1

Record 3
# Nb2ZnNi (PBE, relaxed)
# * formation enthalpy at 0 K: 0.28 eV per atom
data_Nb2ZnNi
_cell_length_a 7.149
_cell_length_b 7.149
_cell_length_c 5.166
_cell_angle_alpha 90.00
_cell_angle_beta 90.00
_cell_angle_gamma 90.00
_space_group_name_H-M_alt 'I -4 2 d'
_space_group_IT_number 122
_space_group_name_Hall 'I -4 2bw'
loop_
_atom_site_label
_atom_site_type_symbol
_atom_site_fract_x
_atom_site_fract_y
_atom_site_fract_z
_atom_site_occupancy
Nb1 Nb 0.221 0.750 0.125 1
Zn1 Zn 0.000 0.000 0.500 1
Ni1 Ni 0.000 0.000 0.000 1

Record 4
# ZrNb2Ni2 (PBE, relaxed)
# * formation enthalpy at 0 K: -0.11 eV per atom
data_ZrNb2Ni2
_cell_length_a 7.240
_cell_length_b 7.240
_cell_length_c 3.099
_cell_angle_alpha 90.00
_cell_angle_beta 90.00
_cell_angle_gamma 90.00
_space_group_name_H-M_alt 'P 4/m b m'
_space_group_IT_number 127
_space_group_name_Hall '-P 4 2ab'
loop_
_atom_site_label
_atom_site_type_symbol
_atom_site_fract_x
_atom_site_fract_y
_atom_site_fract_z
_atom_site_occupancy
Zr1 Zr 0.000 0.000 0.000 1
Nb1 Nb 0.172 0.328 0.500 1
Ni1 Ni 0.121 0.621 0.000 1

Record 5
# Zr2NbNi9 (PBE, relaxed)
# * formation enthalpy at 0 K: -0.32 eV per atom
data_Zr2NbNi9
_cell_length_a 3.736
_cell_length_b 3.736
_cell_length_c 11.213
_cell_angle_alpha 90.00
_cell_angle_beta 90.00
_cell_angle_gamma 90.00
_space_group_name_H-M_alt 'P 4/m m m'
_space_group_IT_number 123
_space_group_name_Hall '-P 4 2'
loop_
_atom_site_label
_atom_site_type_symbol
_atom_site_fract_x
_atom_site_fract_y
_atom_site_fract_z
_atom_site_occupancy
Zr1 Zr 0.000 0.000 0.169 1
Nb1 Nb 0.000 0.000 0.500 1
Ni1 Ni 0.000 0.500 0.000 1
Ni2 Ni 0.000 0.500 0.339 1
Ni3 Ni 0.500 0.500 0.170 1
Ni4 Ni 0.500 0.500 0.500 1

Record 6
# ZrNbNi4 (PBE, relaxed)
# * formation enthalpy at 0 K: -0.28 eV per atom
data_ZrNbNi4
_cell_length_a 6.890
_cell_length_b 6.890
_cell_length_c 6.890
_cell_angle_alpha 90.00
_cell_angle_beta 90.00
_cell_angle_gamma 90.00
_space_group_name_H-M_alt 'F -4 3 m'
_space_group_IT_number 216
_space_group_name_Hall 'F -4 2 3'
loop_
_atom_site_label
_atom_site_type_symbol
_atom_site_fract_x
_atom_site_fract_y
_atom_site_fract_z
_atom_site_occupancy
Zr1 Zr 0.000 0.000 0.000 1
Nb1 Nb 0.250 0.250 0.250 1
Ni1 Ni 0.125 0.125 0.625 1

Record 7
# ZrNbNi (PBE, relaxed)
# * formation enthalpy at 0 K: 0.15 eV per atom
data_ZrNbNi
_cell_length_a 3.946
_cell_length_b 3.946
_cell_length_c 7.035
_cell_angle_alpha 90.00
_cell_angle_beta 90.00
_cell_angle_gamma 90.00
_space_group_name_H-M_alt 'P 4/n m m'
_space_group_IT_number 129
loop_
_space_group_symop_operation_xyz
'x,y,z'
'-x,-y,-z'
'-y+1/2,x,z'
'y+1/2,-x,-z'
'-x+1/2,-y+1/2,z'
'x+1/2,y+1/2,-z'
'y,-x+1/2,z'
'-y,x+1/2,-z'
'x+1/2,-y,-z'
'-x+1/2,y,z'
'-y,-x,-z'
'y,x,z'
'-x,y+1/2,-z'
'x,-y+1/2,z'
'y+1/2,x+1/2,-z'
'-y+1/2,-x+1/2,z'
loop_
_atom_site_label
_atom_site_type_symbol
_atom_site_fract_x
_atom_site_fract_y
_atom_site_fract_z
_atom_site_occupancy
Zr1 Zr 0.250 0.250 0.153 1
Nb1 Nb 0.250 0.250 0.718 1
Ni1 Ni 0.250 0.750 0.500 1

Record 8
# ZrNbNi (PBE, relaxed)
# * formation enthalpy at 0 K: -0.20 eV per atom
data_ZrNbNi
_cell_length_a 3.479
_cell_length_b 3.577
_cell_length_c 8.635
_cell_angle_alpha 90.00
_cell_angle_beta 101.48
_cell_angle_gamma 90.00
_space_group_name_H-M_alt 'P 1 21/m 1'
_space_group_IT_number 11
_space_group_name_Hall '-P 2yb'
loop_
_atom_site_label
_atom_site_type_symbol
_atom_site_fract_x
_atom_site_fract_y
_atom_site_fract_z
_atom_site_occupancy
Zr1 Zr 0.100 0.250 0.199 1
Nb1 Nb 0.288 0.250 0.575 1
Ni1 Ni 0.453 0.250 0.907 1

Record 9
# Zr2NbNi6 (PBE, relaxed)
# * formation enthalpy at 0 K: -0.27 eV per atom
data_Zr2NbNi6
_cell_length_a 5.2117
_cell_length_b 5.2117
_cell_length_c 5.5095
_cell_angle_alpha 90.00
_cell_angle_beta 90.00
_cell_angle_gamma 120.00
_space_group_name_H-M_alt 'P -3 m 1'
_space_group_IT_number 164
_space_group_name_Hall '-P 3 2"'
loop_
_atom_site_label
_atom_site_type_symbol
_atom_site_fract_x
_atom_site_fract_y
_atom_site_fract_z
_atom_site_occupancy
Zr1 Zr 0.3333 0.6667 0.3490 1
Nb1 Nb 0.0000 0.0000 0.5000 1
Ni1 Ni 0.1777 0.3555 0.8330 1

Record 10
# ZrNb2Ni (PBE, relaxed)
# * formation enthalpy at 0 K: 0.32 eV per atom
data_ZrNb2Ni
_cell_length_a 3.796
_cell_length_b 3.796
_cell_length_c 20.575
_cell_angle_alpha 90.00
_cell_angle_beta 90.00
_cell_angle_gamma 90.00
_space_group_name_H-M_alt 'I -4 2 d'
_space_group_IT_number 122
_space_group_name_Hall 'I -4 2bw'
loop_
_atom_site_label
_atom_site_type_symbol
_atom_site_fract_x
_atom_site_fract_y
_atom_site_fract_z
_atom_site_occupancy
Zr1 Zr 0.000 0.000 0.000 1
Nb1 Nb 0.247 0.250 0.625 1
Ni1 Ni 0.000 0.000 0.500 1

Record 11
# ZrNbNi (PBE, relaxed)
# * formation enthalpy at 0 K: -0.13 eV per atom
data_ZrNbNi
_cell_length_a 3.067
_cell_length_b 4.378
_cell_length_c 7.776
_cell_angle_alpha 90.00
_cell_angle_beta 92.18
_cell_angle_gamma 90.00
_space_group_name_H-M_alt 'P 1 m 1'
_space_group_IT_number 6
_space_group_name_Hall 'P -2y'
loop_
_atom_site_label
_atom_site_type_symbol
_atom_site_fract_x
_atom_site_fract_y
_atom_site_fract_z
_atom_site_occupancy
Zr1 Zr 0.000 0.000 0.000 1
Zr2 Zr 0.447 0.500 0.744 1
Nb1 Nb 0.365 0.000 0.373 1
Nb2 Nb 0.572 0.500 0.157 1
Ni1 Ni 0.917 0.000 0.650 1
Ni2 Ni 0.935 0.500 0.463 1

Record 12
# ZrNbNi (PBE, relaxed)
# * formation enthalpy at 0 K: -0.19 eV per atom
data_ZrNbNi
_cell_length_a 3.048
_cell_length_b 4.449
_cell_length_c 7.643
_cell_angle_alpha 90.00
_cell_angle_beta 92.29
_cell_angle_gamma 90.00
_space_group_name_H-M_alt 'P 1 21/m 1'
_space_group_IT_number 11
_space_group_name_Hall '-P 2yb'
loop_
_atom_site_label
_atom_site_type_symbol
_atom_site_fract_x
_atom_site_fract_y
_atom_site_fract_z
_atom_site_occupancy
Zr1 Zr 0.009 0.250 0.304 1
Nb1 Nb 0.339 0.250 0.927 1
Ni1 Ni 0.473 0.750 0.403 1

Record 13
# ZrNb2Ni2 (PBE, relaxed)
# * formation enthalpy at 0 K: 0.23 eV per atom
data_ZrNb2Ni2
_cell_length_a 3.558
_cell_length_b 3.558
_cell_length_c 13.502
_cell_angle_alpha 90.00
_cell_angle_beta 90.00
_cell_angle_gamma 90.00
_space_group_name_H-M_alt 'I 4/m m m'
_space_group_IT_number 139
_space_group_name_Hall '-I 4 2'
loop_
_atom_site_label
_atom_site_type_symbol
_atom_site_fract_x
_atom_site_fract_y
_atom_site_fract_z
_atom_site_occupancy
Zr1 Zr 0.000 0.000 0.000 1
Nb1 Nb 0.000 0.000 0.388 1
Ni1 Ni 0.000 0.500 0.250 1

Record 14
# ZrNbNi (PBE, relaxed)
# * formation enthalpy at 0 K: -0.20 eV per atom
data_ZrNbNi
_cell_length_a 3.199
_cell_length_b 4.357
_cell_length_c 15.076
_cell_angle_alpha 90.00
_cell_angle_beta 90.00
_cell_angle_gamma 90.00
_space_group_name_H-M_alt 'I m m m'
_space_group_IT_number 71
_space_group_name_Hall '-I 2 2'
loop_
_atom_site_label
_atom_site_type_symbol
_atom_site_fract_x
_atom_site_fract_y
_atom_site_fract_z
_atom_site_occupancy
Zr1 Zr 0.000 0.000 0.178 1
Nb1 Nb 0.000 0.500 0.000 1
Nb2 Nb 0.000 0.500 0.500 1
Ni1 Ni 0.000 0.000 0.358 1

Record 15
# Zr2NbNi (PBE, relaxed)
# * formation enthalpy at 0 K: -0.15 eV per atom
data_Zr2NbNi
_cell_length_a 3.311
_cell_length_b 3.311
_cell_length_c 6.787
_cell_angle_alpha 90.00
_cell_angle_beta 90.00
_cell_angle_gamma 90.00
_space_group_name_H-M_alt 'P 4/m m m'
_space_group_IT_number 123
_space_group_name_Hall '-P 4 2'
loop_
_atom_site_label
_atom_site_type_symbol
_atom_site_fract_x
_atom_site_fract_y
_atom_site_fract_z
_atom_site_occupancy
Zr1 Zr 0.000 0.000 0.236 1
Nb1 Nb 0.500 0.500 0.500 1
Ni1 Ni 0.500 0.500 0.000 1

Record 16
# ZrNb3Ni (PBE, relaxed)
# * formation enthalpy at 0 K: 1.94 eV per atom
data_ZrNb3Ni
_cell_length_a 4.849
_cell_length_b 4.849
_cell_length_c 4.849
_cell_angle_alpha 90.00
_cell_angle_beta 90.00
_cell_angle_gamma 90.00
_space_group_name_H-M_alt 'P m -3 m'
_space_group_IT_number 221
_space_group_name_Hall '-P 4 2 3'
loop_
_atom_site_label
_atom_site_type_symbol
_atom_site_fract_x
_atom_site_fract_y
_atom_site_fract_z
_atom_site_occupancy
Zr1 Zr 0.000 0.000 0.000 1
Nb1 Nb 0.000 0.000 0.500 1
Ni1 Ni 0.500 0.500 0.500 1

Record 17
# ZrNb2Ni2 (PBE, relaxed)
# * formation enthalpy at 0 K: 0.00 eV per atom
data_ZrNb2Ni2
_cell_length_a 7.708
_cell_length_b 7.708
_cell_length_c 2.740
_cell_angle_alpha 90.00
_cell_angle_beta 90.00
_cell_angle_gamma 90.00
_space_group_name_H-M_alt 'P 4/m b m'
_space_group_IT_number 127
_space_group_name_Hall '-P 4 2ab'
loop_
_atom_site_label
_atom_site_type_symbol
_atom_site_fract_x
_atom_site_fract_y
_atom_site_fract_z
_atom_site_occupancy
Zr1 Zr 0.000 0.000 0.000 1
Nb1 Nb 0.128 0.372 0.000 1
Ni1 Ni 0.172 0.672 0.500 1

Record 18
# ZrNbNi (PBE, relaxed)
# * formation enthalpy at 0 K: -0.22 eV per atom
data_ZrNbNi
_cell_length_a 3.229
_cell_length_b 4.334
_cell_length_c 7.545
_cell_angle_alpha 90.00
_cell_angle_beta 94.12
_cell_angle_gamma 90.00
_space_group_name_H-M_alt 'P 1 21/m 1'
_space_group_IT_number 11
_space_group_name_Hall '-P 2yb'
loop_
_atom_site_label
_atom_site_type_symbol
_atom_site_fract_x
_atom_site_fract_y
_atom_site_fract_z
_atom_site_occupancy
Zr1 Zr 0.212 0.250 0.146 1
Nb1 Nb 0.248 0.750 0.494 1
Ni1 Ni 0.287 0.250 0.783 1

Record 19
# ZrNbNi (PBE, relaxed)
# * formation enthalpy at 0 K: -0.14 eV per atom
data_ZrNbNi
_cell_length_a 5.369
_cell_length_b 13.683
_cell_length_c 2.887
_cell_angle_alpha 90.00
_cell_angle_beta 103.36
_cell_angle_gamma 90.00
_space_group_name_H-M_alt 'C 1 2/m 1'
_space_group_IT_number 12
_space_group_name_Hall '-C 2y'
loop_
_atom_site_label
_atom_site_type_symbol
_atom_site_fract_x
_atom_site_fract_y
_atom_site_fract_z
_atom_site_occupancy
Zr1 Zr 0.000 0.186 0.000 1
Nb1 Nb 0.243 0.000 0.755 1
Ni1 Ni 0.000 0.356 0.500 1

Record 20
# ZrNbNi (PBE, relaxed)
# * formation enthalpy at 0 K: -0.13 eV per atom
data_ZrNbNi
_cell_length_a 2.860
_cell_length_b 13.927
_cell_length_c 5.278
_cell_angle_alpha 90.00
_cell_angle_beta 101.55
_cell_angle_gamma 90.00
_space_group_name_H-M_alt 'C 1 2/c 1'
_space_group_IT_number 15
_space_group_name_Hall '-C 2yc'
loop_
_atom_site_label
_atom_site_type_symbol
_atom_site_fract_x
_atom_site_fract_y
_atom_site_fract_z
_atom_site_occupancy
Zr1 Zr 0.000 0.067 0.250 1
Nb1 Nb 0.250 0.250 0.000 1
Ni1 Ni 0.000 0.397 0.250 1